Record 1
VASP calculation (PBE) on a relaxed structure of LaThPd2.

Calculated values
The total magnetization comes out at 0.0 μB/cell. As for the final energy: -25.57 eV/f.u. Its excess energy over the best structure of this formula in the dataset is 85.1 meV per atom. As for the crystal system: tetragonal. As for the formation energy: -708 meV per atom.

a b c (Å): 3.675 3.675 7.351
angles (deg): 90.00 90.00 90.00
Fractional positions:
Pd 0.000 0.000 0.784
Pd 0.000 0.000 0.216
Th 0.500 0.500 0.000
La 0.500 0.500 0.500

***

Record 2
VASP calculation (PBE) on a relaxed structure of KBa2In2Pb2.

Calculated values
The total magnetization comes out at 0.0 μB/cell. As for the final energy: -19.52 eV/f.u. As for the crystal system: trigonal. As for the formation energy: -240 meV per atom.

a b c (Å): 5.470 5.470 11.075
angles (deg): 75.70 75.70 60.00
Fractional positions:
Pb 0.738 0.738 0.787
Pb 0.262 0.262 0.213
Ba 0.137 0.137 0.588
Ba 0.863 0.863 0.412
K 0.000 0.000 0.000
In 0.572 0.572 0.283
In 0.428 0.428 0.717

***

Record 3
VASP calculation (PBE) on a relaxed structure of LaDy12Er7.

Calculated values
The total magnetization comes out at 0.0 μB/cell. As for the final energy: -87.32 eV/f.u. Its excess energy over the best structure of this formula in the dataset is 0.0 meV per atom. As for the crystal system: trigonal. As for the formation energy: 239 meV per atom.

a b c (Å): 8.692 8.692 8.692
angles (deg): 86.97 86.97 86.97
Fractional positions:
Er 0.998 0.629 0.125
Er 0.629 0.125 0.998
Er 0.500 0.500 0.500
Er 0.125 0.998 0.629
Er 0.002 0.371 0.875
Er 0.371 0.875 0.002
Er 0.875 0.002 0.371
Dy 0.655 0.568 0.895
Dy 0.239 0.647 0.768
Dy 0.568 0.895 0.655
Dy 0.895 0.655 0.568
Dy 0.353 0.232 0.761
Dy 0.647 0.768 0.239
Dy 0.232 0.761 0.353
Dy 0.768 0.239 0.647
Dy 0.761 0.353 0.232
Dy 0.345 0.432 0.105
Dy 0.105 0.345 0.432
Dy 0.432 0.105 0.345
La 0.000 0.000 0.000

***

Record 4
VASP calculation (PBE) on a relaxed structure of Cd2In2Ga3.

Calculated values
The total magnetization comes out at 0.0 μB/cell. As for the final energy: -16.08 eV/f.u. As for the crystal system: orthorhombic. As for the formation energy: 44 meV per atom.

a b c (Å): 3.242 4.150 12.006
angles (deg): 80.05 90.00 90.00
Fractional positions:
In 0.500 0.700 0.600
In 0.500 0.300 0.400
Cd 0.000 0.874 0.251
Cd 0.000 0.126 0.749
Ga 0.500 0.442 0.115
Ga 0.000 0.000 0.000
Ga 0.500 0.558 0.885